(1)
Crystalline La2YZn at its relaxed geometry. Source: Alexandria via LeMat-Bulk, functional PBEsol.

abc: 6.302 6.302 3.557
angles: 102.33 102.33 119.97
Positions (direct):
La: 0.000 0.500 0.000
La: 0.500 0.000 0.000
Y: 0.000 0.000 0.500
Zn: 0.500 0.500 0.500

Calculated volume in Å³/atom: 27.7
D(E_F) in states/eV per cell: 4.90
ρ in g/cm3: 6.5
Excess energy over the best structure of this formula in the dataset in eV per atom: 0.215
ΔE_f in meV/atom: 60.3

(2)
Crystalline KZrNi at its relaxed geometry. Source: Alexandria via LeMat-Bulk, functional PBEsol.

abc: 4.927 4.927 2.823
angles: 90.00 90.00 120.00
Positions (direct):
K: 0.000 0.000 0.000
Zr: 0.667 0.333 0.308
Ni: 0.333 0.667 0.647

Calculated volume in Å³/atom: 19.8
D(E_F) in states/eV per cell: 3.66
ρ in g/cm3: 5.3
ΔE_f in meV/atom: 1039.9

(3)
Crystalline KSi3O at its relaxed geometry. Source: Alexandria via LeMat-Bulk, functional PBEsol.

abc: 4.427 4.427 4.427
angles: 90.00 90.00 90.00
Positions (direct):
K: 0.000 0.000 0.000
Si: 0.000 0.500 0.500
Si: 0.500 0.000 0.500
Si: 0.500 0.500 0.000
O: 0.500 0.500 0.500

Calculated volume in Å³/atom: 17.4
D(E_F) in states/eV per cell: 2.03
Uncorrected formation energy in eV per atom: 0.35
ρ in g/cm3: 2.7

(4)
Crystalline MnSe at its relaxed geometry. Source: Alexandria via LeMat-Bulk, functional PBEsol.

abc: 3.696 3.696 3.696
angles: 60.00 60.00 60.00
Positions (direct):
Mn: 0.000 0.000 0.000
Se: 0.500 0.500 0.500

Calculated volume in Å³/atom: 17.8
D(E_F) in states/eV per cell: 1.25
Uncorrected formation energy in eV per atom: -0.22
ρ in g/cm3: 6.2

(5)
Crystalline LaMg2Tl at its relaxed geometry. Source: Alexandria via LeMat-Bulk, functional PBEsol.

abc: 5.713 5.713 3.553
angles: 90.00 90.00 108.06
Positions (direct):
La: 0.000 0.000 0.000
Mg: 0.000 0.500 0.500
Mg: 0.500 0.000 0.500
Tl: 0.500 0.500 0.000

Calculated volume in Å³/atom: 27.6
D(E_F) in states/eV per cell: 3.25
ρ in g/cm3: 5.9
Excess energy over the best structure of this formula in the dataset in eV per atom: 0.195
ΔE_f in meV/atom: -56.0

(6)
Crystalline Li2Lu5B3O13 at its relaxed geometry. Source: Alexandria via LeMat-Bulk, functional PBEsol.

abc: 9.948 3.442 15.484
angles: 90.00 105.35 90.00
Positions (direct):
Li: 0.113 0.250 0.053
Li: 0.244 0.750 0.243
Li: 0.756 0.250 0.757
Li: 0.887 0.750 0.947
Lu: 0.022 0.250 0.304
Lu: 0.139 0.250 0.564
Lu: 0.312 0.250 0.794
Lu: 0.355 0.750 0.998
Lu: 0.464 0.750 0.631
Lu: 0.536 0.250 0.369
Lu: 0.645 0.250 0.002
Lu: 0.688 0.750 0.206
Lu: 0.861 0.750 0.436
Lu: 0.978 0.750 0.696
B: 0.089 0.750 0.888
B: 0.289 0.750 0.425
B: 0.406 0.250 0.182
B: 0.594 0.750 0.818
B: 0.711 0.250 0.575
B: 0.911 0.250 0.112
O: 0.013 0.750 0.567
O: 0.044 0.250 0.165
O: 0.109 0.250 0.704
O: 0.121 0.750 0.981
O: 0.177 0.750 0.348
O: 0.206 0.750 0.852
O: 0.267 0.750 0.509
O: 0.331 0.250 0.093
O: 0.344 0.250 0.251
O: 0.349 0.250 0.656
O: 0.421 0.250 0.936
O: 0.424 0.750 0.415
O: 0.449 0.750 0.792
O: 0.551 0.250 0.208
O: 0.576 0.250 0.585
O: 0.579 0.750 0.064
O: 0.651 0.750 0.344
O: 0.656 0.750 0.749
O: 0.669 0.750 0.907
O: 0.733 0.250 0.491
O: 0.794 0.250 0.148
O: 0.823 0.250 0.652
O: 0.879 0.250 0.019
O: 0.891 0.750 0.296
O: 0.956 0.750 0.835
O: 0.987 0.250 0.433

Calculated volume in Å³/atom: 11.1
D(E_F) in states/eV per cell: 0.00
Uncorrected formation energy in eV per atom: -3.17
ρ in g/cm3: 7.3

(7)
Crystalline NiSb2TeIr at its relaxed geometry. Source: Alexandria via LeMat-Bulk, functional PBEsol.

abc: 4.719 4.719 4.886
angles: 90.00 90.00 90.00
Positions (direct):
Ni: 0.000 0.000 0.000
Sb: 0.000 0.500 0.000
Sb: 0.500 0.000 0.000
Te: 0.000 0.000 0.500
Ir: 0.500 0.500 0.500

Calculated volume in Å³/atom: 21.8
D(E_F) in states/eV per cell: 3.66
Uncorrected formation energy in eV per atom: 0.79
ρ in g/cm3: 9.5

(8)
Crystalline CrAgSn2Sb at its relaxed geometry. Source: Alexandria via LeMat-Bulk, functional PBEsol.

abc: 5.620 5.620 4.957
angles: 90.00 90.00 90.00
Positions (direct):
Cr: 0.000 0.000 0.000
Ag: 0.500 0.500 0.000
Sn: 0.000 0.500 0.500
Sn: 0.500 0.000 0.500
Sb: 0.000 0.000 0.500

Calculated volume in Å³/atom: 31.3
D(E_F) in states/eV per cell: 2.71
Uncorrected formation energy in eV per atom: 1.08
ρ in g/cm3: 5.5

(9)
Crystalline AgHgS3 at its relaxed geometry. Source: Alexandria via LeMat-Bulk, functional PBEsol.

abc: 4.919 4.919 4.919
angles: 90.00 90.00 90.00
Positions (direct):
Ag: 0.000 0.000 0.000
Hg: 0.500 0.500 0.500
S: 0.000 0.500 0.500
S: 0.500 0.000 0.500
S: 0.500 0.500 0.000

Calculated volume in Å³/atom: 23.8
D(E_F) in states/eV per cell: 5.74
Uncorrected formation energy in eV per atom: 0.95
ρ in g/cm3: 5.6

(10)
Crystalline BaLiHf2 at its relaxed geometry. Source: Alexandria via LeMat-Bulk, functional PBEsol.

abc: 5.066 5.066 5.066
angles: 60.00 60.00 60.00
Positions (direct):
Ba: 0.000 0.000 0.000
Li: 0.500 0.500 0.500
Hf: 0.250 0.250 0.250
Hf: 0.750 0.750 0.750

Calculated volume in Å³/atom: 23.0
D(E_F) in states/eV per cell: 6.81
ρ in g/cm3: 9.1
ΔE_f in meV/atom: 959.1

(11)
Crystalline MnZn2CoBr at its relaxed geometry. Source: Alexandria via LeMat-Bulk, functional PBEsol.

abc: 4.850 4.850 4.470
angles: 90.00 90.00 90.00
Positions (direct):
Mn: 0.000 0.000 0.000
Zn: 0.000 0.500 0.500
Zn: 0.500 0.000 0.500
Co: 0.500 0.500 0.000
Br: 0.000 0.000 0.500

Calculated volume in Å³/atom: 21.0
D(E_F) in states/eV per cell: 4.81
Uncorrected formation energy in eV per atom: 1.51
ρ in g/cm3: 5.1

(12)
Crystalline AuCl3 at its relaxed geometry. Source: Alexandria via LeMat-Bulk, functional PBEsol.

abc: 6.432 11.010 6.651
angles: 90.00 115.65 90.00
Positions (direct):
Au: 0.044 0.088 0.230
Au: 0.044 0.412 0.730
Au: 0.956 0.588 0.270
Au: 0.956 0.912 0.770
Cl: 0.189 0.657 0.122
Cl: 0.189 0.843 0.622
Cl: 0.266 0.007 0.061
Cl: 0.266 0.493 0.561
Cl: 0.352 0.176 0.504
Cl: 0.352 0.324 0.004
Cl: 0.648 0.676 0.996
Cl: 0.648 0.824 0.496
Cl: 0.734 0.507 0.439
Cl: 0.734 0.993 0.939
Cl: 0.811 0.157 0.378
Cl: 0.811 0.343 0.878

Calculated volume in Å³/atom: 26.5
Uncorrected formation energy in eV per atom: -0.24
ρ in g/cm3: 4.7

(13)
Crystalline HfZn2Pt2 at its relaxed geometry. Source: Alexandria via LeMat-Bulk, functional PBEsol.

abc: 7.043 7.043 7.043
angles: 151.13 151.13 41.29
Positions (direct):
Hf: 0.000 0.000 0.000
Zn: 0.250 0.750 0.500
Zn: 0.750 0.250 0.500
Pt: 0.399 0.399 0.000
Pt: 0.601 0.601 0.000

Calculated volume in Å³/atom: 16.3
D(E_F) in states/eV per cell: 1.81
ρ in g/cm3: 14.3
ΔE_f in meV/atom: -670.1

(14)
Crystalline SmMn2Si2 at its relaxed geometry. Source: Alexandria via LeMat-Bulk, functional PBEsol.

abc: 5.834 5.834 5.834
angles: 141.06 141.06 56.25
Positions (direct):
Sm: 0.000 0.000 0.000
Mn: 0.250 0.750 0.500
Mn: 0.750 0.250 0.500
Si: 0.377 0.377 0.000
Si: 0.623 0.623 0.000

Calculated volume in Å³/atom: 15.6
D(E_F) in states/eV per cell: 2.85
Uncorrected formation energy in eV per atom: -0.60
ρ in g/cm3: 6.8

(15)
Crystalline TaInI3 at its relaxed geometry. Source: Alexandria via LeMat-Bulk, functional PBEsol.

abc: 5.754 5.754 5.754
angles: 90.00 90.00 90.00
Positions (direct):
Ta: 0.000 0.000 0.000
In: 0.500 0.500 0.500
I: 0.000 0.500 0.500
I: 0.500 0.000 0.500
I: 0.500 0.500 0.000

Calculated volume in Å³/atom: 38.1
D(E_F) in states/eV per cell: 9.44
Uncorrected formation energy in eV per atom: 1.14
ρ in g/cm3: 5.9

(16)
Crystalline Sb3PS at its relaxed geometry. Source: Alexandria via LeMat-Bulk, functional PBEsol.

abc: 5.076 5.076 5.076
angles: 90.00 90.00 90.00
Positions (direct):
Sb: 0.000 0.000 0.500
Sb: 0.000 0.500 0.000
Sb: 0.500 0.000 0.000
P: 0.500 0.500 0.500
S: 0.000 0.000 0.000

Calculated volume in Å³/atom: 26.2
D(E_F) in states/eV per cell: 4.49
Uncorrected formation energy in eV per atom: 0.86
ρ in g/cm3: 5.4

(17)
Crystalline SmCuSi at its relaxed geometry. Source: Alexandria via LeMat-Bulk, functional PBEsol.

abc: 4.135 4.135 7.655
angles: 90.00 90.00 120.00
Positions (direct):
Sm: 0.000 0.000 0.000
Sm: 0.000 0.000 0.500
Cu: 0.333 0.667 0.250
Cu: 0.667 0.333 0.750
Si: 0.333 0.667 0.750
Si: 0.667 0.333 0.250

Calculated volume in Å³/atom: 18.9
D(E_F) in states/eV per cell: 1.86
Uncorrected formation energy in eV per atom: -0.67
ρ in g/cm3: 7.1

(18)
Crystalline BaTc2P at its relaxed geometry. Source: Alexandria via LeMat-Bulk, functional PBEsol.

abc: 5.374 5.374 3.041
angles: 105.84 105.84 111.68
Positions (direct):
Ba: 0.000 0.000 0.000
Tc: 0.000 0.500 0.000
Tc: 0.500 0.000 0.000
P: 0.500 0.500 0.000

Calculated volume in Å³/atom: 17.8
D(E_F) in states/eV per cell: 4.45
ρ in g/cm3: 8.5
ΔE_f in meV/atom: 954.5

(19)
Crystalline PBr at its relaxed geometry. Source: Alexandria via LeMat-Bulk, functional PBEsol.

abc: 2.971 2.971 10.278
angles: 90.00 90.00 90.00
Positions (direct):
P: 0.250 0.250 0.045
P: 0.750 0.750 0.955
Br: 0.250 0.250 0.670
Br: 0.750 0.750 0.330

Calculated volume in Å³/atom: 22.7
D(E_F) in states/eV per cell: 1.94
Uncorrected formation energy in eV per atom: 0.33
ρ in g/cm3: 4.1
Excess energy over the best structure of this formula in the dataset in eV per atom: 0.225

(20)
Crystalline YBeHg2 at its relaxed geometry. Source: Alexandria via LeMat-Bulk, functional PBEsol.

abc: 4.230 5.716 5.716
angles: 35.80 90.00 90.00
Positions (direct):
Y: 0.000 0.000 0.000
Be: 0.500 0.393 0.393
Hg: 0.000 0.278 0.278
Hg: 0.500 0.650 0.650

Calculated volume in Å³/atom: 20.2
D(E_F) in states/eV per cell: 1.75
ρ in g/cm3: 10.3
ΔE_f in meV/atom: -106.2